The following is a DFT calculation (PBE) of crystalline HoP2O2 at its relaxed geometry.

Lattice parameters (Å, degrees): 10.260 10.260 10.260 128.34 128.34 76.07
Fractional positions:
Ho: 0.000 0.000 0.000
Ho: 0.000 0.000 0.500
Ho: 0.000 0.500 0.000
Ho: 0.500 0.000 0.500
P: 0.076 0.171 0.905
P: 0.171 0.076 0.405
P: 0.171 0.766 0.095
P: 0.234 0.829 0.405
P: 0.766 0.171 0.595
P: 0.829 0.234 0.905
P: 0.829 0.924 0.595
P: 0.924 0.829 0.095
O: 0.131 0.198 0.567
O: 0.131 0.564 0.933
O: 0.198 0.131 0.067
O: 0.436 0.869 0.567
O: 0.564 0.131 0.433
O: 0.802 0.869 0.933
O: 0.869 0.436 0.067
O: 0.869 0.802 0.433

- Calculated total energy: -6.3368 eV/atom



The following is a DFT calculation (PBE) of crystalline HoP3O9 at its relaxed geometry.

Lattice parameters (Å, degrees): 6.954 6.954 7.212 90.00 90.00 105.07
Fractional positions:
Ho: 0.126 0.126 0.000
Ho: 0.874 0.874 0.500
P: 0.250 0.250 0.500
P: 0.308 0.665 0.958
P: 0.335 0.692 0.542
P: 0.665 0.308 0.042
P: 0.692 0.335 0.458
P: 0.750 0.750 0.000
O: 0.132 0.171 0.673
O: 0.171 0.132 0.327
O: 0.171 0.794 0.530
O: 0.206 0.829 0.970
O: 0.211 0.465 0.037
O: 0.252 0.473 0.451
O: 0.371 0.629 0.750
O: 0.465 0.211 0.963
O: 0.473 0.252 0.549
O: 0.527 0.748 0.049
O: 0.535 0.789 0.463
O: 0.629 0.371 0.250
O: 0.748 0.527 0.951
O: 0.789 0.535 0.537
O: 0.794 0.171 0.470
O: 0.829 0.206 0.030
O: 0.829 0.868 0.827
O: 0.868 0.829 0.173

- Distance to the lowest polymorph of the same formula: 0.028 eV per atom